VASP calculation (PBE-GGA) on a geometry-optimized CsBaBe3 structure. Values from VASP.

Quantum ESPRESSO input file:
```
&SYSTEM
  ibrav = 0, nat = 5, ntyp = 3
/
ATOMIC_SPECIES
Cs 132.91 Cs.upf
Be 9.01 Be.upf
Ba 137.33 Ba.upf
CELL_PARAMETERS angstrom
-0.5642 3.7832 -4.2239
-5.6451 0.0263 0.7776
0.5357 4.2613 3.7451
ATOMIC_POSITIONS angstrom
Cs 0.0000 0.0000 0.0000
Be -2.8225 0.0131 0.3888
Be 0.2679 2.1307 1.8726
Be -0.2821 1.8916 -2.1119
Ba -2.8368 4.0354 0.1494
```

Calculated values
DFT total energy = -1.07 eV per atom
space group = Pm-3m, No. 221
volume = 37.01 Å³ per atom
excess energy over the best structure of this formula in the dataset = 0.60 eV/f.u.

=====

VASP calculation (PBE-GGA) on a geometry-optimized RbPNO2 structure. Values from VASP.

Quantum ESPRESSO input file:
```
&SYSTEM
  ibrav = 0, nat = 5, ntyp = 4
/
ATOMIC_SPECIES
P 30.97 P.upf
O 16.00 O.upf
Rb 85.47 Rb.upf
N 14.01 N.upf
CELL_PARAMETERS angstrom
-1.1479 3.1062 -2.1202
-2.4451 1.0679 2.8884
2.5510 1.9298 1.4460
ATOMIC_POSITIONS angstrom
P 0.0000 0.0000 0.0000
O -1.2225 0.5340 1.4442
O -0.5740 1.5531 -1.0601
Rb -0.5210 3.0519 1.1071
N 1.2755 0.9649 0.7230
```

Calculated values
DFT total energy = -5.13 eV per atom
energy relative to the elements, uncorrected = -0.21 eV per atom
space group = P4/mmm, No. 123
volume = 10.86 Å³ per atom

=====

VASP calculation (PBE-GGA) on a geometry-optimized PaAsS4 structure. Values from VASP.

Quantum ESPRESSO input file:
```
&SYSTEM
  ibrav = 0, nat = 12, ntyp = 3
/
ATOMIC_SPECIES
Pa 231.04 Pa.upf
As 74.92 As.upf
S 32.06 S.upf
CELL_PARAMETERS angstrom
-0.2748 -0.8158 6.5665
2.1210 -5.5516 -1.8311
5.1721 5.3399 -1.8447
ATOMIC_POSITIONS angstrom
Pa 2.5085 -2.4432 0.8562
Pa 4.5097 1.4157 2.0345
As 5.2619 -1.1099 -2.2026
As 1.7563 0.0824 5.0933
S 0.7379 -2.0347 5.5301
S 1.8408 -4.4328 2.5632
S 4.0620 -0.3104 -0.0518
S 2.9563 -0.7171 2.9425
S 4.2460 -3.3962 -1.0425
S 5.1775 3.4053 0.3275
S 2.7723 2.3687 3.9332
S 6.2804 1.0073 -2.6394
```

Calculated values
DFT total energy = -6.00 eV per atom
energy relative to the elements, uncorrected = -0.89 eV per atom
space group = C2/c, No. 15
volume = 21.83 Å³ per atom
excess energy over the best structure of this formula in the dataset = 0.20 eV/f.u.

=====

VASP calculation (PBE-GGA) on a geometry-optimized La2RuPt2 structure. Values from VASP.

Quantum ESPRESSO input file:
```
&SYSTEM
  ibrav = 0, nat = 5, ntyp = 3
/
ATOMIC_SPECIES
Ru 101.07 Ru.upf
Pt 195.08 Pt.upf
La 138.91 La.upf
CELL_PARAMETERS angstrom
5.7125 0.0000 0.0000
0.0000 5.7125 0.0000
2.8563 2.8563 3.8992
ATOMIC_POSITIONS angstrom
Ru 0.0000 0.0000 0.0000
Pt 2.8563 2.8563 1.3006
Pt 5.7125 5.7125 2.5986
La 5.7125 2.8563 1.9496
La 2.8563 5.7125 1.9496
```

Calculated values
DFT total energy = -6.68 eV per atom
space group = I4/mmm, No. 139
volume = 25.45 Å³ per atom
excess energy over the best structure of this formula in the dataset = 0.92 eV/f.u.

=====

VASP calculation (PBE-GGA) on a geometry-optimized Th3CoSb structure. Values from VASP.

Quantum ESPRESSO input file:
```
&SYSTEM
  ibrav = 0, nat = 10, ntyp = 3
/
ATOMIC_SPECIES
Th 232.04 Th.upf
Co 58.93 Co.upf
Sb 121.76 Sb.upf
CELL_PARAMETERS angstrom
-2.5244 2.8405 -3.0120
-4.9114 1.7143 5.7330
6.7012 4.9357 -0.9617
ATOMIC_POSITIONS angstrom
Th -2.7515 1.9401 0.2325
Th 0.7660 5.2531 4.3120
Th -4.6843 2.6147 2.4886
Th -0.3673 4.7453 0.8797
Th 1.0238 1.3969 0.4593
Th 2.0884 3.8881 -1.9868
Co -0.4556 2.5209 -1.1441
Co -0.2790 6.9697 2.9035
Sb -1.2293 2.5305 3.4168
Sb 3.0191 4.1195 1.3546
```

Calculated values
DFT total energy = -7.09 eV per atom
energy relative to the elements, uncorrected = -0.39 eV per atom
space group = Cmmm, No. 65
volume = 27.89 Å³ per atom
excess energy over the best structure of this formula in the dataset = 0.71 eV/f.u.

=====

VASP calculation (PBE-GGA) on a geometry-optimized CaCdOs2 structure. Values from VASP.

Quantum ESPRESSO input file:
```
&SYSTEM
  ibrav = 0, nat = 4, ntyp = 3
/
ATOMIC_SPECIES
Ca 40.08 Ca.upf
Os 190.23 Os.upf
Cd 112.41 Cd.upf
CELL_PARAMETERS angstrom
-2.1819 9.4524 1.6926
-4.1993 8.2440 3.3728
-1.5324 8.6758 4.3996
ATOMIC_POSITIONS angstrom
Ca -1.9784 6.5931 2.3663
Os -0.0173 0.0576 0.0207
Os -3.9396 13.1285 4.7119
Cd -5.9353 19.7792 7.0988
```

Calculated values
DFT total energy = -5.59 eV per atom
space group = R-3m, No. 166
volume = 17.55 Å³ per atom

=====

VASP calculation (PBE-GGA) on a geometry-optimized V2AgN2 structure. Values from VASP.

Quantum ESPRESSO input file:
```
&SYSTEM
  ibrav = 0, nat = 5, ntyp = 3
/
ATOMIC_SPECIES
V 50.94 V.upf
Ag 107.87 Ag.upf
N 14.01 N.upf
CELL_PARAMETERS angstrom
-1.3440 0.5658 3.4683
-2.9375 -2.2190 -0.7764
0.2696 -4.5570 2.8885
ATOMIC_POSITIONS angstrom
V -1.6076 -2.4090 3.8514
V -2.4043 -3.8013 1.7291
Ag 0.0000 0.0000 0.0000
N -1.1894 -2.2990 1.9548
N -2.8226 -3.9113 3.6256
```

Calculated values
DFT total energy = -7.95 eV per atom
energy relative to the elements, uncorrected = -0.40 eV per atom
space group = I4/mmm, No. 139
volume = 13.31 Å³ per atom
excess energy over the best structure of this formula in the dataset = 0.00 eV/f.u.

=====

VASP calculation (PBE-GGA) on a geometry-optimized BaCa2La structure. Values from VASP.

Quantum ESPRESSO input file:
```
&SYSTEM
  ibrav = 0, nat = 4, ntyp = 3
/
ATOMIC_SPECIES
Ca 40.08 Ca.upf
Ba 137.33 Ba.upf
La 138.91 La.upf
CELL_PARAMETERS angstrom
-5.9328 4.5420 0.5003
-6.6349 -2.6809 -2.2066
5.7895 -0.7508 4.6899
ATOMIC_POSITIONS angstrom
Ca -12.4484 1.8434 -1.6901
Ca -3.2415 2.3650 2.1647
Ba -3.5378 -1.2545 0.8187
La -6.4018 0.9480 -0.8692
```

Calculated values
DFT total energy = -2.59 eV per atom
space group = Imm2, No. 44
volume = 44.50 Å³ per atom
excess energy over the best structure of this formula in the dataset = 0.18 eV/f.u.

=====

VASP calculation (PBE-GGA) on a geometry-optimized Rb3Pu3ZnSe8 structure. Values from VASP.

Quantum ESPRESSO input file:
```
&SYSTEM
  ibrav = 0, nat = 15, ntyp = 4
/
ATOMIC_SPECIES
Rb 85.47 Rb.upf
Pu 244.00 Pu.upf
Zn 65.41 Zn.upf
Se 78.96 Se.upf
CELL_PARAMETERS angstrom
-6.0937 -3.1496 5.1669
6.6551 -4.5103 -2.0372
1.6009 6.8158 6.0428
ATOMIC_POSITIONS angstrom
Rb 0.0000 0.0000 0.0000
Rb 3.3276 -2.2551 -1.0186
Rb 0.2807 -3.8299 1.5648
Pu -2.2464 1.8331 5.6048
Pu 1.0811 -0.4220 4.5862
Pu 4.1280 1.1528 2.0028
Zn 0.8004 3.4079 3.0214
Se 2.4207 -1.1760 2.1381
Se -0.2585 0.3320 7.0343
Se -0.3557 -2.9603 4.9129
Se 2.5179 2.1162 4.2596
Se -3.8057 -0.5208 5.6515
Se 5.9679 -0.3232 3.5209
Se -0.9705 0.9446 3.2475
Se 3.1327 -1.7886 5.9249
```

Calculated values
DFT total energy = -6.21 eV per atom
energy relative to the elements, uncorrected = -1.20 eV per atom
space group = C2/m, No. 12
volume = 32.67 Å³ per atom

=====

VASP calculation (PBE-GGA) on a geometry-optimized Ac2Mg3ScPb4 structure. Values from VASP.

Quantum ESPRESSO input file:
```
&SYSTEM
  ibrav = 0, nat = 10, ntyp = 4
/
ATOMIC_SPECIES
Ac 227.00 Ac.upf
Mg 24.30 Mg.upf
Sc 44.96 Sc.upf
Pb 207.20 Pb.upf
CELL_PARAMETERS angstrom
-4.0545 -2.7459 -0.0117
2.7236 -4.0188 -0.6401
0.8835 -1.3566 12.2767
ATOMIC_POSITIONS angstrom
Ac -1.8160 -1.6974 2.9300
Ac 2.0340 -3.0416 9.0208
Mg 0.4417 -0.6783 6.1383
Mg -1.2595 -2.5518 10.6622
Mg 1.4776 -2.1872 1.2887
Sc -0.2237 -4.0607 5.8125
Pb -0.6654 -3.3824 -0.3259
Pb 0.0000 0.0000 0.0000
Pb -1.4598 -2.2442 7.8790
Pb 1.6779 -2.4947 4.0718
```

Calculated values
DFT total energy = -3.73 eV per atom
space group = P-4m2, No. 115
volume = 29.69 Å³ per atom

=====

VASP calculation (PBE-GGA) on a geometry-optimized Zn2SbPb2 structure. Values from VASP.

Quantum ESPRESSO input file:
```
&SYSTEM
  ibrav = 0, nat = 10, ntyp = 3
/
ATOMIC_SPECIES
Pb 207.20 Pb.upf
Sb 121.76 Sb.upf
Zn 65.41 Zn.upf
CELL_PARAMETERS angstrom
-6.5004 -1.4802 -3.2080
-2.7290 -2.1629 6.5278
-1.3965 4.3061 0.8429
ATOMIC_POSITIONS angstrom
Pb -3.7092 0.4217 4.2776
Pb -7.3502 -0.6281 3.6085
Pb -6.9167 0.2413 -0.1148
Pb -3.2757 1.2912 0.5543
Sb 0.0000 0.0000 0.0000
Sb -4.6147 -1.8215 1.6599
Zn -4.8433 -2.4546 4.5152
Zn -7.4007 -2.6456 1.2541
Zn -4.3861 -1.1884 -1.1954
Zn -1.8287 -0.9974 2.0657
```

Calculated values
DFT total energy = -2.72 eV per atom
energy relative to the elements, uncorrected = 0.10 eV per atom
space group = P4/mbm, No. 127
volume = 25.21 Å³ per atom
excess energy over the best structure of this formula in the dataset = 0.00 eV/f.u.